The following is a PBE calculation of a relaxed structure of CoAg3Pd, from Alexandria.

abc: 4.7240 4.7240 4.7240
angles: 90.00 90.00 90.00
With the nearest neighbours (Å) after each atom.
Sites, in units of the cell vectors:
Ag 0.5000 0.0000 0.0000  2 Co 2.36
Ag 0.0000 0.5000 0.0000  2 Co 2.36
Ag 0.0000 0.0000 0.5000  2 Co 2.36
Co 0.0000 0.0000 0.0000  6 Ag 2.36
Pd 0.5000 0.5000 0.5000  12 Ag 3.34

As for the space group: Pm-3m, No. 221. The relative energy among the computed polymorphs is 0.0 meV/atom. The total energy comes out at -3.15 eV/atom. The crystal system is cubic. The size of the total moment comes out at 1.83 μB/f.u.

---

The following is a PBE calculation of a relaxed structure of CoAgPd2, from Alexandria.

abc: 3.7715 3.9964 3.9964
angles: 90.00 90.00 90.00
With the nearest neighbours (Å) after each atom.
Sites, in units of the cell vectors:
Co 0.5000 0.5000 0.5000  8 Pd 2.75, 4 Ag 2.83
Pd 0.0000 0.0000 0.5000  4 Co 2.75, 4 Ag 2.75, 4 Pd 2.83
Pd 0.0000 0.5000 0.0000  4 Co 2.75, 4 Ag 2.75, 4 Pd 2.83
Ag 0.5000 0.0000 0.0000  8 Pd 2.75, 4 Co 2.83

As for the space group: P4/mmm, No. 123. The relative energy among the computed polymorphs is 137.1 meV/atom. The total energy comes out at -4.93 eV/atom. The crystal system is tetragonal. The size of the total moment comes out at 2.53 μB/f.u.

---

The following is a PBE calculation of a relaxed structure of CoAg2Pd, from Alexandria.

abc: 4.4676 4.4676 4.4676
angles: 60.00 60.00 60.00
With the nearest neighbours (Å) after each atom.
Sites, in units of the cell vectors:
Ag 0.2500 0.2500 0.2500  4 Pd 2.74, 4 Co 2.74
Ag 0.7500 0.7500 0.7500  4 Co 2.74, 4 Pd 2.74
Co 0.0000 0.0000 0.0000  8 Ag 2.74
Pd 0.5000 0.5000 0.5000  8 Ag 2.74

As for the space group: Fm-3m, No. 225. The relative energy among the computed polymorphs is 0.0 meV/atom. The total energy comes out at -4.17 eV/atom. The crystal system is cubic. The size of the total moment comes out at 1.81 μB/f.u.

---

The following is a PBE calculation of a relaxed structure of CoAgPd4, from Alexandria.

abc: 2.7731 2.7731 11.7572
angles: 90.00 90.00 90.00
With the nearest neighbours (Å) after each atom.
Sites, in units of the cell vectors:
Pd 0.0000 0.0000 0.6478  4 Co 2.62, 8 Pd 2.77-2.82
Pd 0.5000 0.5000 0.8204  8 Pd 2.77-2.82, 4 Ag 2.88
Pd 0.0000 0.0000 0.3522  4 Co 2.62, 8 Pd 2.77-2.82
Pd 0.5000 0.5000 0.1796  8 Pd 2.77-2.82, 4 Ag 2.88
Ag 0.0000 0.0000 0.0000  4 Ag 2.77, 8 Pd 2.88
Co 0.5000 0.5000 0.5000  8 Pd 2.62, 4 Co 2.77

As for the space group: P4/mmm, No. 123. The total energy comes out at -5.13 eV/atom. The crystal system is tetragonal. The size of the total moment comes out at 2.88 μB/f.u.

---

The following is a PBE calculation of a relaxed structure of CoAgPd2, from Alexandria.

abc: 4.4155 4.4155 4.4155
angles: 60.00 60.00 60.00
With the nearest neighbours (Å) after each atom.
Sites, in units of the cell vectors:
Pd 0.7500 0.7500 0.7500  4 Ag 2.70, 4 Co 2.70
Pd 0.2500 0.2500 0.2500  4 Co 2.70, 4 Ag 2.70
Ag 0.5000 0.5000 0.5000  8 Pd 2.70
Co 0.0000 0.0000 0.0000  8 Pd 2.70

As for the space group: Fm-3m, No. 225. The relative energy among the computed polymorphs is 158.0 meV/atom. The total energy comes out at -4.91 eV/atom. The crystal system is cubic. The size of the total moment comes out at 2.49 μB/f.u.

---

The following is a PBE calculation of a relaxed structure of CoAgPd2, from Alexandria.

abc: 7.0415 7.0415 5.6502
angles: 51.46 51.46 90.00
With the nearest neighbours (Å) after each atom.
Sites, in units of the cell vectors:
Co 0.2500 0.7500 0.5000  4 Pd 2.41, 2 Ag 2.67
Co 0.5000 0.5000 0.0000  4 Pd 2.41, 2 Ag 2.67
Ag 0.7500 0.2500 0.5000  2 Co 2.67, 4 Pd 2.76
Ag 0.0000 0.0000 0.0000  2 Co 2.67, 4 Pd 2.76
Pd 0.1613 0.6250 0.2500  2 Co 2.41
Pd 0.5887 0.1250 0.2500  2 Co 2.41
Pd 0.3750 0.4113 0.7500  2 Co 2.41
Pd 0.8750 0.8387 0.7500  2 Co 2.41

As for the space group: I-42d, No. 122. The relative energy among the computed polymorphs is 402.5 meV/atom. The total energy comes out at -4.66 eV/atom. The crystal system is tetragonal. The size of the total moment comes out at 2.67 μB/f.u.

---

The following is a PBE calculation of a relaxed structure of CoAgPd2, from Alexandria.

abc: 2.7894 2.7894 9.0575
angles: 81.14 81.14 60.00
With the nearest neighbours (Å) after each atom.
Sites, in units of the cell vectors:
Co 0.0000 0.0000 0.0000  6 Pd 2.61, 6 Co 2.79
Ag 0.5000 0.5000 0.5000  6 Ag 2.79, 6 Pd 2.89
Pd 0.7434 0.7434 0.7698  3 Co 2.61, 6 Pd 2.79, 3 Ag 2.89
Pd 0.2566 0.2566 0.2302  3 Co 2.61, 6 Pd 2.79, 3 Ag 2.89

As for the space group: R-3m, No. 166. The relative energy among the computed polymorphs is 38.0 meV/atom. The total energy comes out at -5.03 eV/atom. The crystal system is trigonal. The size of the total moment comes out at 2.53 μB/f.u.

---

The following is a PBE calculation of a relaxed structure of Co2AgPd6, from Alexandria.

abc: 4.1110 8.5010 8.5010
angles: 70.34 90.00 90.00
With the nearest neighbours (Å) after each atom.
Sites, in units of the cell vectors:
Pd 0.2500 0.8188 0.9877  1 Co 2.59, 6 Pd 2.64-2.86, 2 Ag 2.86
Pd 0.7500 0.2770 0.5248  3 Co 2.46-2.70, 1 Pd 2.75
Pd 0.7500 0.4752 0.7230  3 Co 2.46-2.70, 1 Pd 2.75
Pd 0.7500 0.0158 0.3858  4 Co 2.48-2.68, 4 Pd 2.70-2.78
Pd 0.2500 0.5248 0.2770  3 Co 2.46-2.70, 1 Pd 2.75
Pd 0.2500 0.7230 0.4752  3 Co 2.46-2.70, 1 Pd 2.75
Pd 0.7500 0.6142 0.9842  4 Co 2.48-2.68, 4 Pd 2.70-2.78
Pd 0.7500 0.9877 0.8189  1 Co 2.59, 6 Pd 2.64-2.86, 2 Ag 2.86
Pd 0.2500 0.9842 0.6142  4 Co 2.48-2.68, 4 Pd 2.70-2.78
Pd 0.2500 0.0123 0.1811  1 Co 2.59, 6 Pd 2.64-2.86, 2 Ag 2.86
Pd 0.2500 0.3858 0.0158  4 Co 2.48-2.68, 4 Pd 2.70-2.78
Pd 0.7500 0.1812 0.0123  1 Co 2.59, 6 Pd 2.64-2.86, 2 Ag 2.86
Ag 0.7500 0.7665 0.2335  10 Pd 2.83-2.86
Ag 0.2500 0.2335 0.7665  10 Pd 2.83-2.86
Co 0.2500 0.2196 0.3450  2 Co 2.39, 6 Pd 2.46-2.68
Co 0.7500 0.3450 0.2196  2 Co 2.39, 6 Pd 2.46-2.68
Co 0.2500 0.6550 0.7804  2 Co 2.39, 6 Pd 2.46-2.68
Co 0.7500 0.7804 0.6550  2 Co 2.39, 6 Pd 2.46-2.68

As for the space group: Cmcm, No. 63. The total energy comes out at -5.22 eV/atom. The crystal system is orthorhombic. The size of the total moment comes out at 5.60 μB/f.u.

---

The following is a PBE calculation of a relaxed structure of CoAg2Pd, from Alexandria.

abc: 7.2271 7.2271 5.7543
angles: 51.10 51.10 90.00
With the nearest neighbours (Å) after each atom.
Sites, in units of the cell vectors:
Pd 0.0000 0.0000 0.0000  2 Co 2.65, 4 Ag 2.74
Pd 0.7500 0.2500 0.5000  2 Co 2.65, 4 Ag 2.74
Ag 0.1447 0.6250 0.2500  2 Co 2.54, 2 Ag 2.66, 2 Pd 2.74
Ag 0.6053 0.1250 0.2500  2 Co 2.54, 2 Ag 2.66, 2 Pd 2.74
Ag 0.8750 0.8553 0.7500  2 Co 2.54, 2 Ag 2.66, 2 Pd 2.74
Ag 0.3750 0.3947 0.7500  2 Co 2.54, 2 Ag 2.66, 2 Pd 2.74
Co 0.5000 0.5000 0.0000  4 Ag 2.54, 2 Pd 2.65
Co 0.2500 0.7500 0.5000  4 Ag 2.54, 2 Pd 2.65

As for the space group: I-42d, No. 122. The relative energy among the computed polymorphs is 250.9 meV/atom. The total energy comes out at -3.92 eV/atom. The crystal system is tetragonal. The size of the total moment comes out at 2.16 μB/f.u.

---

The following is a PBE calculation of a relaxed structure of Co3AgPd, from Alexandria.

abc: 4.5811 4.5811 4.5811
angles: 90.00 90.00 90.00
With the nearest neighbours (Å) after each atom.
Sites, in units of the cell vectors:
Ag 0.0000 0.0000 0.0000  6 Co 2.29
Co 0.5000 0.0000 0.0000  2 Ag 2.29
Co 0.0000 0.5000 0.0000  2 Ag 2.29
Co 0.0000 0.0000 0.5000  2 Ag 2.29
Pd 0.5000 0.5000 0.5000  12 Co 3.24

As for the space group: Pm-3m, No. 221. The relative energy among the computed polymorphs is 369.2 meV/atom. The total energy comes out at -4.14 eV/atom. The crystal system is cubic. The size of the total moment comes out at 6.08 μB/f.u.

---

The following is a PBE calculation of a relaxed structure of CoAgPd2, from Alexandria.

abc: 2.7877 2.7877 9.0810
angles: 81.17 81.17 60.00
With the nearest neighbours (Å) after each atom.
Sites, in units of the cell vectors:
Pd 0.2568 0.2568 0.2296  3 Co 2.61, 6 Pd 2.79, 3 Ag 2.91
Pd 0.0766 0.0766 0.7701  3 Co 2.61, 6 Pd 2.79, 3 Ag 2.90
Ag 0.4999 0.4999 0.5004  6 Ag 2.79, 6 Pd 2.90-2.91
Co 0.6667 0.6667 0.9999  6 Pd 2.61, 6 Co 2.79

As for the space group: R3m, No. 160. The relative energy among the computed polymorphs is 40.8 meV/atom. The total energy comes out at -5.02 eV/atom. The crystal system is trigonal. The size of the total moment comes out at 2.55 μB/f.u.

---

The following is a PBE calculation of a relaxed structure of Co3AgPd, from Alexandria.

abc: 4.5705 4.5705 4.5705
angles: 90.00 90.00 90.00
With the nearest neighbours (Å) after each atom.
Sites, in units of the cell vectors:
Co 0.0000 0.0000 0.5000  2 Pd 2.29
Co 0.0000 0.5000 0.0000  2 Pd 2.29
Co 0.5000 0.0000 0.0000  2 Pd 2.29
Ag 0.5000 0.5000 0.5000  12 Co 3.23
Pd 0.0000 0.0000 0.0000  6 Co 2.29

As for the space group: Pm-3m, No. 221. The relative energy among the computed polymorphs is 0.0 meV/atom. The total energy comes out at -4.51 eV/atom. The crystal system is cubic. The size of the total moment comes out at 6.36 μB/f.u.

---

Number 1: calculated formation energy 1.022 eV per atom, DOS at the Fermi energy 5.0 states/eV/cell. Number 2: calculated formation energy 0.159 eV per atom, DOS at the Fermi energy 5.6 states/eV/cell. Number 3: calculated formation energy 0.330 eV per atom, DOS at the Fermi energy 6.2 states/eV/cell. Number 4: calculated formation energy -0.011 eV per atom, DOS at the Fermi energy 4.5 states/eV/cell. Number 5: calculated formation energy 0.179 eV per atom, DOS at the Fermi energy 4.6 states/eV/cell. Number 6: calculated formation energy 0.424 eV per atom, DOS at the Fermi energy 13.2 states/eV/cell. Number 7: calculated formation energy 0.059 eV per atom, DOS at the Fermi energy 5.3 states/eV/cell. Number 8: calculated formation energy 0.142 eV per atom, DOS at the Fermi energy 18.4 states/eV/cell. Number 9: calculated formation energy 0.581 eV per atom, DOS at the Fermi energy 7.5 states/eV/cell. Number 10: calculated formation energy 1.733 eV per atom, DOS at the Fermi energy 12.4 states/eV/cell. Number 11: calculated formation energy 0.062 eV per atom, DOS at the Fermi energy 5.1 states/eV/cell. Number 12: calculated formation energy 1.364 eV per atom, DOS at the Fermi energy 8.0 states/eV/cell.